Entry 1:
Entry from Alexandria via LeMat-Bulk: a geometry-optimized K2PSe structure (PBE-GGA).

Calculated values
distance to the lowest polymorph of the same formula = 290.3 meV/atom
space group = P4/mmm

a b c (Å): 4.595 4.595 4.872
angles (deg): 90.00 90.00 90.00
Fractional coordinates of all 4 atoms:
K: 0.000 0.500 0.000
K: 0.500 0.000 0.000
P: 0.000 0.000 0.500
Se: 0.500 0.500 0.500

Entry 2:
Entry from Alexandria via LeMat-Bulk: a geometry-optimized K2PSe structure (PBE-GGA).

Calculated values
distance to the lowest polymorph of the same formula = 316.4 meV/atom
space group = R3m

a b c (Å): 4.578 4.578 26.739
angles (deg): 90.00 90.00 120.00
Fractional coordinates of all 12 atoms:
K: 0.000 0.000 0.000
K: 0.000 0.000 0.162
K: 0.333 0.667 0.667
K: 0.333 0.667 0.829
K: 0.667 0.333 0.333
K: 0.667 0.333 0.496
P: 0.000 0.000 0.422
P: 0.333 0.667 0.089
P: 0.667 0.333 0.756
Se: 0.000 0.000 0.740
Se: 0.333 0.667 0.407
Se: 0.667 0.333 0.074

Entry 3:
Entry from Alexandria via LeMat-Bulk: a geometry-optimized KPSe3 structure (PBE-GGA).

Calculated values
space group = P1

a b c (Å): 3.823 6.164 6.322
angles (deg): 106.14 91.21 91.29
Fractional coordinates of all 5 atoms:
K: 0.000 0.000 0.000
P: 0.514 0.376 0.638
Se: 0.500 0.018 0.469
Se: 0.531 0.472 0.994
Se: 0.950 0.563 0.515

Respective final energy values: -12.06; -35.86; -19.12 eV per cell.
Respective E_form (uncorrected) values: -5.59; -4.99; -9.95 kcal/mol of atoms.